Entry 1:
# HfPdC2N (PBE, relaxed)
# Total magnetic moment in μB/f.u.: 0.00
# E_form (uncorrected) in eV/atom: 1.692
data_HfPdC2N
_chemical_formula_sum 'Hf1 Pd1 C2 N1'
_symmetry_space_group_name_H-M 'P 1'
_symmetry_Int_Tables_number 1
_cell_length_a 3.826
_cell_length_b 3.826
_cell_length_c 4.266
_cell_angle_alpha 90.00
_cell_angle_beta 90.00
_cell_angle_gamma 90.00
loop_
_symmetry_equiv_pos_as_xyz
'x,y,z'
loop_
_atom_site_label
_atom_site_type_symbol
_atom_site_fract_x
_atom_site_fract_y
_atom_site_fract_z
Hf1 Hf 0.000 0.000 0.000
Pd1 Pd 0.500 0.500 0.500
C1 C 0.000 0.500 0.500
C2 C 0.500 0.000 0.500
N1 N 0.500 0.500 0.000


Entry 2:
# K4Ce3CoSe8 (PBE, relaxed)
# Total magnetic moment in μB/f.u.: 4.20
# E_form (uncorrected) in eV/atom: -1.361
data_K4Ce3CoSe8
_chemical_formula_sum 'K4 Ce3 Co1 Se8'
_symmetry_space_group_name_H-M 'P 1'
_symmetry_Int_Tables_number 1
_cell_length_a 9.073
_cell_length_b 9.073
_cell_length_c 9.073
_cell_angle_alpha 55.72
_cell_angle_beta 55.72
_cell_angle_gamma 55.72
loop_
_symmetry_equiv_pos_as_xyz
'x,y,z'
loop_
_atom_site_label
_atom_site_type_symbol
_atom_site_fract_x
_atom_site_fract_y
_atom_site_fract_z
K1 K 0.000 0.000 0.000
K2 K 0.000 0.500 0.500
K3 K 0.500 0.000 0.500
K4 K 0.500 0.500 0.000
Ce1 Ce 0.000 0.000 0.500
Ce2 Ce 0.000 0.500 0.000
Ce3 Ce 0.500 0.000 0.000
Co1 Co 0.500 0.500 0.500
Se1 Se 0.237 0.237 0.237
Se2 Se 0.246 0.726 0.726
Se3 Se 0.274 0.274 0.754
Se4 Se 0.274 0.754 0.274
Se5 Se 0.726 0.246 0.726
Se6 Se 0.726 0.726 0.246
Se7 Se 0.754 0.274 0.274
Se8 Se 0.763 0.763 0.763


Entry 3:
# La4NdS4 (PBE, relaxed)
# Total magnetic moment in μB/f.u.: 0.00
# E_form (uncorrected) in eV/atom: -1.865
data_La4NdS4
_chemical_formula_sum 'La4 Nd1 S4'
_symmetry_space_group_name_H-M 'P 1'
_symmetry_Int_Tables_number 1
_cell_length_a 7.129
_cell_length_b 7.129
_cell_length_c 9.188
_cell_angle_alpha 130.11
_cell_angle_beta 130.11
_cell_angle_gamma 48.55
loop_
_symmetry_equiv_pos_as_xyz
'x,y,z'
loop_
_atom_site_label
_atom_site_type_symbol
_atom_site_fract_x
_atom_site_fract_y
_atom_site_fract_z
La1 La 0.102 0.102 0.404
La2 La 0.303 0.303 0.201
La3 La 0.697 0.697 0.799
La4 La 0.898 0.898 0.596
Nd1 Nd 0.500 0.500 0.000
S1 S 0.201 0.201 0.800
S2 S 0.401 0.401 0.602
S3 S 0.599 0.599 0.398
S4 S 0.799 0.799 0.200


The lowest E_form (uncorrected) belongs to which entry?
La4NdS4